Entry 1:
BeTcPO (PBE, relaxed); symmetry = Pmc2_1 (26)
1.0
2.885 0.000 0.000
0.000 6.809 0.000
0.000 0.000 4.764
Be Tc P O
2 2 2 2
direct
0.000 0.087 0.000
0.000 0.913 0.500
0.500 0.352 0.338
0.500 0.648 0.838
0.500 0.307 0.828
0.500 0.693 0.328
0.000 0.105 0.325
0.000 0.895 0.825


Entry 2:
BeTcPO (PBE, relaxed); symmetry = Pmc2_1 (26)
1.0
2.881 0.000 0.000
0.000 5.714 0.000
0.000 0.000 5.796
Be Tc P O
2 2 2 2
direct
0.000 0.107 0.000
0.000 0.893 0.500
0.500 0.498 0.247
0.500 0.502 0.747
0.000 0.272 0.498
0.000 0.728 0.998
0.500 0.215 0.995
0.500 0.785 0.495


Entry 3:
TmBePO (PBE, relaxed); symmetry = P4/nmm (129)
1.0
3.928 0.000 0.000
0.000 3.928 0.000
0.000 0.000 9.022
Tm Be P O
2 2 2 2
direct
0.250 0.750 0.000
0.750 0.250 0.000
0.250 0.250 0.491
0.750 0.750 0.509
0.250 0.250 0.194
0.750 0.750 0.806
0.250 0.750 0.500
0.750 0.250 0.500


Result set for raw total energy: -6.930, -7.174, -5.193 eV per atom, one per record in the order listed.
Result set for size of the total moment: 0.017, 0.021, 0.001 μB/f.u., one per record in the order listed.